This record from Alexandria describes a relaxed structure of Ba2MgAl2Fe8O14. The functional is PBE with a Hubbard U.

Cell lengths 6.1198, 6.2173, 10.2900 Å; angles 92.97, 93.48, 119.10 degrees
Closest atoms and distances in Å follow each position.
Fractional positions:
Ba 0.6104 0.3279 0.0329  6 O 2.76-2.95
Ba 0.3330 0.7265 0.4499  6 O 2.56-2.86
O 0.3624 0.1418 0.5201  1 Al 1.97, 1 Mg 2.01, 1 Fe 2.02
O 0.1330 0.7606 0.9835  1 Al 2.00, 2 Fe 2.05-2.06
O 0.5880 0.5512 0.6796  2 Fe 1.99-2.13, 1 Mg 2.03, 1 Al 2.05
O 0.0244 0.5422 0.2243  1 Al 1.95, 2 Fe 2.01-2.14
O 0.0361 0.0337 0.7541  1 Mg 2.00, 4 Fe 2.05-2.20
O 0.6154 0.1266 0.7680  1 Al 2.02, 3 Fe 2.10-2.22
O 0.8298 0.1176 0.5186  1 Al 1.95, 2 Fe 2.05-2.17
O 0.8080 0.5232 0.4614  1 Al 1.97, 2 Fe 2.00-2.11
O 0.4743 0.5453 0.2433  2 Fe 1.96-2.02, 1 Al 1.97
O 0.6057 0.7789 0.0050  2 Fe 1.94-2.11, 1 Al 2.07
O 0.0630 0.5228 0.6913  2 Fe 2.01-2.12, 1 Al 2.02, 1 Mg 2.10
O 0.4729 0.9970 0.2247  2 Fe 2.01-2.15, 1 Al 2.03
O 0.0100 0.0472 0.2536  4 Fe 1.91-2.04
O 0.1645 0.3385 0.0182  2 Fe 1.90-2.04, 1 Al 1.96
Fe 0.2474 0.8713 0.8032  4 O 2.05-2.12
Fe 0.8380 0.7094 0.2924  4 O 1.91-2.11
Fe 0.9965 0.9778 0.0585  4 O 2.02-2.11
Fe 0.6691 0.8137 0.8229  2 O 1.94-1.99
Fe 0.8647 0.8221 0.5739  4 O 2.00-2.13
Fe 0.0088 0.3417 0.8529  2 O 1.90-2.01
Fe 0.8161 0.2132 0.3195  4 O 2.01-2.17
Fe 0.3741 0.2361 0.3344  4 O 2.02-2.15
Al 0.3074 0.6624 0.1187  6 O 1.95-2.07
Al 0.7059 0.3151 0.6081  6 O 1.95-2.05
Mg 0.2183 0.2998 0.6376  4 O 2.00-2.10

Results
* total magnetic moment: 32.04 μB/f.u.
* V: 340 Å³/cell
* ρ: 5000 kg/m³
* calculated total energy: -6.52 eV/atom